Entry 1:
Material: BaNd4Mg5
Method: DFT, PBE-GGA
State: relaxed

abc: 3.938 3.938 20.265
angles: 90.00 90.00 90.00
Element x y z (fractional)
Nd: 0.000 0.000 0.406
Mg: 0.500 0.500 0.500
Nd: 0.000 0.000 0.218
Ba: 0.000 0.000 0.000
Mg: 0.500 0.500 0.689
Mg: 0.500 0.500 0.311
Mg: 0.500 0.500 0.123
Nd: 0.000 0.000 0.594
Nd: 0.000 0.000 0.782
Mg: 0.500 0.500 0.877

Formation energy   -0.089 eV/atom
Symmetry   P4/mmm, No. 123
Crystal system   tetragonal
DOS(E_F)   9.64 states/eV per cell

---

Entry 2:
Material: BaNd2Mg
Method: DFT, PBE-GGA
State: relaxed

abc: 3.670 3.670 12.928
angles: 81.84 81.84 60.00
Element x y z (fractional)
Nd: 0.098 0.098 0.707
Nd: 0.902 0.902 0.293
Ba: 0.000 0.000 0.000
Mg: 0.500 0.500 0.500

Formation energy   0.233 eV/atom
Relative energy among the computed polymorphs   174.7 meV/atom
Symmetry   R-3m, No. 166
Crystal system   trigonal
DOS(E_F)   5.62 states/eV per cell

---

Entry 3:
Material: Ba2NdMg
Method: DFT, PBE-GGA
State: relaxed

abc: 3.841 3.841 13.611
angles: 81.89 81.89 60.00
Each line ends with the local moment (μB).
Element x y z (fractional)
Mg: 0.500 0.500 0.500  0.00
Ba: 0.092 0.092 0.724  0.01
Nd: 0.000 0.000 0.000  0.10
Ba: 0.908 0.908 0.276  0.01

Formation energy   0.321 eV/atom
Relative energy among the computed polymorphs   189.5 meV/atom
Symmetry   R-3m, No. 166
Crystal system   trigonal
DOS(E_F)   6.27 states/eV per cell

---

Entry 4:
Material: BaNdMg10
Method: DFT, PBE-GGA
State: relaxed

abc: 5.036 6.136 10.637
angles: 90.00 90.00 90.00
Element x y z (fractional)
Mg: 0.500 0.244 0.762
Ba: 0.000 0.500 0.500
Mg: 0.500 0.756 0.762
Mg: 0.000 0.500 0.843
Mg: 0.500 0.756 0.238
Mg: 0.000 0.000 0.678
Mg: 0.000 0.000 0.322
Mg: 0.500 0.244 0.238
Nd: 0.000 0.000 0.000
Mg: 0.000 0.500 0.157
Mg: 0.500 0.500 0.000
Mg: 0.500 0.000 0.500

Formation energy   -0.050 eV/atom
Symmetry   Pmmm, No. 47
Crystal system   orthorhombic
DOS(E_F)   6.97 states/eV per cell

---

Entry 5:
Material: BaNd2Mg9
Method: DFT, PBE-GGA
State: relaxed

abc: 6.206 6.206 10.785
angles: 73.28 73.28 60.00
Element x y z (fractional)
Nd: 0.850 0.850 0.449
Mg: 0.666 0.666 0.003
Mg: 0.587 0.587 0.744
Mg: 0.500 0.500 0.500
Mg: 0.334 0.334 0.997
Mg: 0.587 0.082 0.744
Mg: 0.413 0.918 0.256
Mg: 0.413 0.413 0.256
Ba: 0.000 0.000 0.000
Mg: 0.918 0.413 0.256
Nd: 0.150 0.150 0.551
Mg: 0.082 0.587 0.744

Formation energy   -0.078 eV/atom
Symmetry   R-3m, No. 166
Crystal system   trigonal
DOS(E_F)   11.09 states/eV per cell

---

Entry 6:
Material: Ba2NdMg
Method: DFT, PBE-GGA
State: relaxed

abc: 4.082 4.082 10.460
angles: 90.00 90.00 90.00
Each line ends with the local moment (μB).
Element x y z (fractional)
Nd: 0.500 0.500 0.500  0.10
Ba: 0.000 0.000 0.227  0.01
Ba: 0.000 0.000 0.773  0.01
Mg: 0.500 0.500 0.000  0.00

Formation energy   0.131 eV/atom
Relative energy among the computed polymorphs   0.0 meV/atom
Symmetry   P4/mmm, No. 123
Crystal system   tetragonal
DOS(E_F)   7.33 states/eV per cell

---

Entry 7:
Material: BaNd2Mg
Method: DFT, PBE-GGA
State: relaxed

abc: 3.944 3.944 9.720
angles: 90.00 90.00 90.00
Element x y z (fractional)
Nd: 0.000 0.000 0.811
Nd: 0.000 0.000 0.189
Ba: 0.500 0.500 0.500
Mg: 0.500 0.500 0.000

Formation energy   0.059 eV/atom
Relative energy among the computed polymorphs   0.0 meV/atom
Symmetry   P4/mmm, No. 123
Crystal system   tetragonal
DOS(E_F)   5.08 states/eV per cell

---

Entry 8:
Material: BaNd2Mg3
Method: DFT, PBE-GGA
State: relaxed

abc: 3.969 3.969 12.517
angles: 90.00 90.00 90.00
Element x y z (fractional)
Mg: 0.000 0.000 0.699
Mg: 0.000 0.000 0.000
Nd: 0.500 0.500 0.149
Nd: 0.500 0.500 0.851
Ba: 0.500 0.500 0.500
Mg: 0.000 0.000 0.301

Formation energy   -0.074 eV/atom
Symmetry   P4/mmm, No. 123
Crystal system   tetragonal
DOS(E_F)   5.12 states/eV per cell

---

Number 1: final energy -2.99 eV per atom. Number 2: final energy -3.03 eV per atom. Number 3: final energy -2.23 eV per atom. Number 4: final energy -1.94 eV per atom. Number 5: final energy -2.23 eV per atom. Number 6: final energy -2.42 eV per atom. Number 7: final energy -3.20 eV per atom. Number 8: final energy -2.78 eV per atom.